[1]
First-principles (PBE) data for Os4RhBr after structural relaxation, as listed in Alexandria.

POSCAR file:
```
Os4RhBr
1.0
0.000 3.680 3.680
3.680 0.000 3.680
3.680 3.680 0.000
Os Rh Br
4 1 1
direct
0.125 0.125 0.125
0.125 0.125 0.626
0.125 0.626 0.125
0.626 0.125 0.125
0.750 0.750 0.750
0.500 0.500 0.500
```

## Properties
Formation energy without anion corrections = 1.3840 eV per atom
Raw total energy = -7.607 eV per atom
Mass density = 15728 kg/m3


[2]
First-principles (PBE) data for La2Y6Tm3Th after structural relaxation, as listed in Alexandria.

POSCAR file:
```
La2Y6Tm3Th
1.0
3.112 -5.385 0.000
3.112 5.385 0.000
-2.072 0.000 11.630
La Y Tm Th
2 6 3 1
direct
0.167 0.833 0.000
0.833 0.167 0.000
0.086 0.415 0.747
0.256 0.256 0.253
0.415 0.086 0.747
0.585 0.914 0.253
0.744 0.744 0.747
0.914 0.585 0.253
0.000 0.000 0.500
0.333 0.667 0.500
0.667 0.333 0.500
0.500 0.500 0.000
```

## Properties
Raw total energy = -5.753 eV per atom
Formation energy from the elements = 0.036 eV per atom
Mass density = 6602 kg/m3


[3]
First-principles (PBE) data for RbIrRu3 after structural relaxation, as listed in Alexandria.

POSCAR file:
```
RbIrRu3
1.0
4.840 0.000 0.000
0.000 4.840 0.000
0.000 0.000 4.840
Rb Ir Ru
1 1 3
direct
0.000 0.000 0.000
0.500 0.500 0.500
0.000 0.500 0.500
0.500 0.000 0.500
0.500 0.500 0.000
```

## Properties
Raw total energy = -5.927 eV per atom
Formation energy from the elements = 1.604 eV per atom
Polymorph energy (0 for the lowest one) = 0 meV per atom
Mass density = 8505 kg/m3


[4]
First-principles (PBE) data for MgCrPb2 after structural relaxation, as listed in Alexandria.

POSCAR file:
```
MgCrPb2
1.0
3.399 0.000 0.000
0.000 3.399 0.000
0.000 0.000 8.663
Mg Cr Pb
1 1 2
direct
0.000 0.000 0.000
0.500 0.500 0.802
0.000 0.000 0.588
0.500 0.500 0.258
```

## Properties
Raw total energy = -4.355 eV per atom
Formation energy from the elements = 0.304 eV per atom
Mass density = 8141 kg/m3


[5]
First-principles (PBE) data for Cs2KAcI6 after structural relaxation, as listed in Alexandria.

POSCAR file:
```
Cs2KAcI6
1.0
9.016 0.000 0.000
0.000 9.534 0.000
-8.690 0.000 12.885
Cs K Ac I
4 2 2 12
direct
0.216 0.075 0.245
0.216 0.425 0.745
0.784 0.575 0.255
0.784 0.925 0.755
0.000 0.000 0.500
0.000 0.500 0.000
0.500 0.000 0.000
0.500 0.500 0.500
0.158 0.190 0.949
0.158 0.310 0.449
0.256 0.716 0.941
0.256 0.784 0.441
0.370 0.035 0.758
0.370 0.465 0.258
0.630 0.535 0.742
0.630 0.965 0.242
0.744 0.216 0.559
0.744 0.284 0.059
0.842 0.690 0.551
0.842 0.810 0.051
```

## Properties
Formation energy without anion corrections = -1.5627 eV per atom
Raw total energy = -3.184 eV per atom
Mass density = 3878 kg/m3


[6]
First-principles (PBE) data for Li2Zn4Pt after structural relaxation, as listed in Alexandria.

POSCAR file:
```
Li2Zn4Pt
1.0
2.112 1.219 6.694
-2.112 1.219 6.694
0.000 -2.439 6.694
Li Zn Pt
2 4 1
direct
0.237 0.237 0.237
0.763 0.763 0.763
0.110 0.110 0.110
0.367 0.367 0.367
0.633 0.633 0.633
0.890 0.890 0.890
0.500 0.500 0.500
```

## Properties
Raw total energy = -2.430 eV per atom
Formation energy from the elements = -0.292 eV per atom
Mass density = 7555 kg/m3


[7]
First-principles (PBE) data for Tm4Mg2Sc after structural relaxation, as listed in Alexandria.

POSCAR file:
```
Tm4Mg2Sc
1.0
1.714 -16.945 0.000
1.714 16.945 0.000
0.000 0.000 3.376
Tm Mg Sc
4 2 1
direct
0.070 0.930 0.000
0.357 0.643 0.500
0.643 0.357 0.500
0.930 0.070 0.000
0.212 0.788 0.000
0.788 0.212 0.000
0.500 0.500 0.500
```

## Properties
Raw total energy = -3.870 eV per atom
Formation energy from the elements = 0.045 eV per atom
Polymorph energy (0 for the lowest one) = 0 meV per atom
Mass density = 6516 kg/m3


[8]
First-principles (PBE) data for MgCuBr after structural relaxation, as listed in Alexandria.

POSCAR file:
```
MgCuBr
1.0
3.644 0.000 0.000
0.000 3.210 3.141
0.000 -3.210 3.141
Mg Cu Br
1 1 1
direct
0.000 0.000 0.000
0.500 0.286 0.286
0.000 0.578 0.578
```

## Properties
Formation energy without anion corrections = -0.1320 eV per atom
Raw total energy = -2.587 eV per atom
Polymorph energy (0 for the lowest one) = 146 meV per atom
Mass density = 3791 kg/m3


Please write out number 7 again, unchanged.
First-principles (PBE) data for Tm4Mg2Sc after structural relaxation, as listed in Alexandria.

POSCAR file:
```
Tm4Mg2Sc
1.0
1.714 -16.945 0.000
1.714 16.945 0.000
0.000 0.000 3.376
Tm Mg Sc
4 2 1
direct
0.070 0.930 0.000
0.357 0.643 0.500
0.643 0.357 0.500
0.930 0.070 0.000
0.212 0.788 0.000
0.788 0.212 0.000
0.500 0.500 0.500
```

## Properties
Raw total energy = -3.870 eV per atom
Formation energy from the elements = 0.045 eV per atom
Polymorph energy (0 for the lowest one) = 0 meV per atom
Mass density = 6516 kg/m3